The following is a PBE calculation of an optimized crystal structure of Mn4In, from Alexandria.

Output
Energy relative to the elements: 0.274 eV/atom
Crystal system: tetragonal
Polymorph energy (0 for the lowest one): 0 meV per atom
Space group: I4/mmm

The structure in CIF format:
```
data_Mn4In
_cell_length_a 5.367
_cell_length_b 5.367
_cell_length_c 5.367
_cell_angle_alpha 137.79
_cell_angle_beta 137.79
_cell_angle_gamma 61.22
_space_group_name_H-M_alt 'P 1'
_space_group_IT_number 1
loop_
_space_group_symop_operation_xyz
'x,y,z'
loop_
_atom_site_label
_atom_site_type_symbol
_atom_site_fract_x
_atom_site_fract_y
_atom_site_fract_z
_atom_site_occupancy
Mn1 Mn 0.750 0.250 0.500 1
Mn2 Mn 0.250 0.750 0.500 1
Mn3 Mn 0.619 0.619 0.000 1
Mn4 Mn 0.381 0.381 0.000 1
In1 In 0.000 0.000 0.000 1
```


The following is a PBE calculation of an optimized crystal structure of Ba2IrCI, from Alexandria.

Output
Formation energy from raw total energies: -566.6 meV per atom
Crystal system: tetragonal
Space group: P4/mmm

The structure in CIF format:
```
data_Ba2IrCI
_cell_length_a 6.032
_cell_length_b 6.032
_cell_length_c 3.933
_cell_angle_alpha 90.00
_cell_angle_beta 90.00
_cell_angle_gamma 90.00
_space_group_name_H-M_alt 'P 1'
_space_group_IT_number 1
loop_
_space_group_symop_operation_xyz
'x,y,z'
loop_
_atom_site_label
_atom_site_type_symbol
_atom_site_fract_x
_atom_site_fract_y
_atom_site_fract_z
_atom_site_occupancy
I1 I 0.500 0.500 0.500 1
C1 C 0.000 0.000 0.000 1
Ir1 Ir 0.000 0.000 0.500 1
Ba1 Ba 0.000 0.500 0.000 1
Ba2 Ba 0.500 0.000 0.000 1
```


The following is a PBE calculation of an optimized crystal structure of La4CdCoHg, from Alexandria.

Output
Energy relative to the elements: -0.210 eV/atom
Crystal system: orthorhombic
Space group: Cmcm

The structure in CIF format:
```
data_La4CdCoHg
_cell_length_a 7.376
_cell_length_b 7.348
_cell_length_c 8.992
_cell_angle_alpha 90.00
_cell_angle_beta 114.21
_cell_angle_gamma 90.00
_space_group_name_H-M_alt 'P 1'
_space_group_IT_number 1
loop_
_space_group_symop_operation_xyz
'x,y,z'
loop_
_atom_site_label
_atom_site_type_symbol
_atom_site_fract_x
_atom_site_fract_y
_atom_site_fract_z
_atom_site_occupancy
La1 La 0.929 0.250 0.859 1
La2 La 0.425 0.750 0.850 1
La3 La 0.071 0.750 0.141 1
La4 La 0.575 0.250 0.150 1
La5 La 0.500 0.500 0.500 1
La6 La 0.000 0.000 0.500 1
La7 La 0.500 0.000 0.500 1
La8 La 0.000 0.500 0.500 1
Cd1 Cd 0.617 0.750 0.234 1
Cd2 Cd 0.383 0.250 0.766 1
Co1 Co 0.249 0.750 0.498 1
Co2 Co 0.751 0.250 0.502 1
Hg1 Hg 0.119 0.250 0.238 1
Hg2 Hg 0.881 0.750 0.762 1
```


The following is a PBE calculation of an optimized crystal structure of Ac2PaBi2N2, from Alexandria.

Output
Formation energy from raw total energies: -1193.7 meV per atom
Crystal system: monoclinic
Space group: C2/m

The structure in CIF format:
```
data_Ac2PaBi2N2
_cell_length_a 4.456
_cell_length_b 6.781
_cell_length_c 7.639
_cell_angle_alpha 64.53
_cell_angle_beta 73.04
_cell_angle_gamma 70.82
_space_group_name_H-M_alt 'P 1'
_space_group_IT_number 1
loop_
_space_group_symop_operation_xyz
'x,y,z'
loop_
_atom_site_label
_atom_site_type_symbol
_atom_site_fract_x
_atom_site_fract_y
_atom_site_fract_z
_atom_site_occupancy
Ac1 Ac 0.206 0.349 0.239 1
Ac2 Ac 0.794 0.651 0.761 1
Pa1 Pa 0.000 0.000 0.000 1
Bi1 Bi 0.548 0.242 0.661 1
Bi2 Bi 0.452 0.758 0.339 1
N1 N 0.176 0.720 0.928 1
N2 N 0.824 0.280 0.072 1
```


The following is a PBE calculation of an optimized crystal structure of CoCu6Pd8, from Alexandria.

Output
Energy relative to the elements: 0.160 eV/atom
Crystal system: trigonal
Polymorph energy (0 for the lowest one): 53 meV per atom
Space group: P-31m

The structure in CIF format:
```
data_CoCu6Pd8
_cell_length_a 5.123
_cell_length_b 7.165
_cell_length_c 7.165
_cell_angle_alpha 120.00
_cell_angle_beta 90.00
_cell_angle_gamma 90.00
_space_group_name_H-M_alt 'P 1'
_space_group_IT_number 1
loop_
_space_group_symop_operation_xyz
'x,y,z'
loop_
_atom_site_label
_atom_site_type_symbol
_atom_site_fract_x
_atom_site_fract_y
_atom_site_fract_z
_atom_site_occupancy
Co1 Co 0.500 0.000 0.000 1
Cu1 Cu 0.648 0.675 0.000 1
Cu2 Cu 0.648 0.000 0.675 1
Cu3 Cu 0.648 0.325 0.325 1
Cu4 Cu 0.352 0.325 0.000 1
Cu5 Cu 0.352 0.000 0.325 1
Cu6 Cu 0.352 0.675 0.675 1
Pd1 Pd 0.852 0.000 0.333 1
Pd2 Pd 0.852 0.667 0.667 1
Pd3 Pd 0.852 0.333 0.000 1
Pd4 Pd 0.148 0.000 0.667 1
Pd5 Pd 0.148 0.333 0.333 1
Pd6 Pd 0.148 0.667 0.000 1
Pd7 Pd 0.499 0.333 0.667 1
Pd8 Pd 0.501 0.667 0.333 1
```


The following is a PBE calculation of an optimized crystal structure of Ca2BeW, from Alexandria.

Output
Energy relative to the elements: 0.980 eV/atom
Crystal system: monoclinic
Space group: P2/m

The structure in CIF format:
```
data_Ca2BeW
_cell_length_a 4.760
_cell_length_b 2.983
_cell_length_c 6.576
_cell_angle_alpha 63.25
_cell_angle_beta 90.00
_cell_angle_gamma 90.00
_space_group_name_H-M_alt 'P 1'
_space_group_IT_number 1
loop_
_space_group_symop_operation_xyz
'x,y,z'
loop_
_atom_site_label
_atom_site_type_symbol
_atom_site_fract_x
_atom_site_fract_y
_atom_site_fract_z
_atom_site_occupancy
Be1 Be 0.500 0.750 0.750 1
Ca1 Ca 0.000 0.999 0.000 1
Ca2 Ca 0.000 0.501 0.500 1
W1 W 0.500 0.250 0.250 1
```


The following is a PBE calculation of an optimized crystal structure of Tb2Y3Tm6, from Alexandria.

Output
Energy relative to the elements: 0.088 eV/atom
Crystal system: triclinic
Polymorph energy (0 for the lowest one): 0 meV per atom
Space group: P-1

The structure in CIF format:
```
data_Tb2Y3Tm6
_cell_length_a 5.987
_cell_length_b 8.337
_cell_length_c 15.212
_cell_angle_alpha 45.26
_cell_angle_beta 74.21
_cell_angle_gamma 108.66
_space_group_name_H-M_alt 'P 1'
_space_group_IT_number 1
loop_
_space_group_symop_operation_xyz
'x,y,z'
loop_
_atom_site_label
_atom_site_type_symbol
_atom_site_fract_x
_atom_site_fract_y
_atom_site_fract_z
_atom_site_occupancy
Tb1 Tb 0.449 0.258 0.189 1
Tb2 Tb 0.551 0.742 0.811 1
Y1 Y 0.000 0.000 0.000 1
Y2 Y 0.738 0.903 0.278 1
Y3 Y 0.262 0.097 0.722 1
Tm1 Tm 0.810 0.389 0.904 1
Tm2 Tm 0.942 0.447 0.646 1
Tm3 Tm 0.190 0.611 0.096 1
Tm4 Tm 0.058 0.553 0.354 1
Tm5 Tm 0.653 0.829 0.543 1
Tm6 Tm 0.347 0.171 0.457 1
```


The following is a PBE calculation of an optimized crystal structure of KBa3Sc, from Alexandria.

Output
Energy relative to the elements: 0.435 eV/atom
Crystal system: cubic
Polymorph energy (0 for the lowest one): 0 meV per atom
Space group: Pm-3m

The structure in CIF format:
```
data_KBa3Sc
_cell_length_a 6.924
_cell_length_b 6.924
_cell_length_c 6.924
_cell_angle_alpha 90.00
_cell_angle_beta 90.00
_cell_angle_gamma 90.00
_space_group_name_H-M_alt 'P 1'
_space_group_IT_number 1
loop_
_space_group_symop_operation_xyz
'x,y,z'
loop_
_atom_site_label
_atom_site_type_symbol
_atom_site_fract_x
_atom_site_fract_y
_atom_site_fract_z
_atom_site_occupancy
Sc1 Sc 0.000 0.000 0.000 1
K1 K 0.500 0.500 0.500 1
Ba1 Ba 0.000 0.500 0.000 1
Ba2 Ba 0.000 0.000 0.500 1
Ba3 Ba 0.500 0.000 0.000 1
```


The following is a PBE calculation of an optimized crystal structure of Li5Pu3F12, from Alexandria.

Output
Formation energy from raw total energies: -3141.3 meV per atom
Crystal system: cubic
Space group: Ia-3d

The structure in CIF format:
```
data_Li5Pu3F12
_cell_length_a 11.069
_cell_length_b 11.069
_cell_length_c 11.069
_cell_angle_alpha 109.47
_cell_angle_beta 109.47
_cell_angle_gamma 109.47
_space_group_name_H-M_alt 'P 1'
_space_group_IT_number 1
loop_
_space_group_symop_operation_xyz
'x,y,z'
loop_
_atom_site_label
_atom_site_type_symbol
_atom_site_fract_x
_atom_site_fract_y
_atom_site_fract_z
_atom_site_occupancy
Pu1 Pu 0.750 0.375 0.125 1
Pu2 Pu 0.875 0.750 0.125 1
Pu3 Pu 0.375 0.750 0.625 1
Pu4 Pu 0.250 0.125 0.375 1
Pu5 Pu 0.875 0.125 0.250 1
Pu6 Pu 0.375 0.625 0.250 1
Pu7 Pu 0.625 0.375 0.750 1
Pu8 Pu 0.125 0.875 0.750 1
Pu9 Pu 0.750 0.875 0.625 1
Pu10 Pu 0.625 0.250 0.375 1
Pu11 Pu 0.125 0.250 0.875 1
Pu12 Pu 0.250 0.625 0.875 1
Li1 Li 0.125 0.375 0.250 1
Li2 Li 0.000 0.500 0.000 1
Li3 Li 0.000 0.000 0.000 1
Li4 Li 0.375 0.250 0.125 1
Li5 Li 0.500 0.000 0.500 1
Li6 Li 0.500 0.500 0.000 1
Li7 Li 0.125 0.750 0.375 1
Li8 Li 0.750 0.125 0.875 1
Li9 Li 0.750 0.625 0.375 1
Li10 Li 0.375 0.125 0.750 1
Li11 Li 0.625 0.875 0.250 1
Li12 Li 0.500 0.500 0.500 1
Li13 Li 0.500 0.000 0.000 1
Li14 Li 0.000 0.000 0.500 1
Li15 Li 0.250 0.375 0.625 1
Li16 Li 0.250 0.875 0.125 1
Li17 Li 0.000 0.500 0.500 1
Li18 Li 0.875 0.250 0.625 1
Li19 Li 0.625 0.750 0.875 1
Li20 Li 0.875 0.625 0.750 1
F1 F 0.708 0.120 0.025 1
F2 F 0.318 0.525 0.405 1
F3 F 0.975 0.380 0.292 1
F4 F 0.525 0.208 0.120 1
F5 F 0.588 0.708 0.682 1
F6 F 0.975 0.595 0.182 1
F7 F 0.318 0.792 0.412 1
F8 F 0.095 0.912 0.120 1
F9 F 0.595 0.975 0.682 1
F10 F 0.708 0.588 0.182 1
F11 F 0.792 0.475 0.380 1
F12 F 0.818 0.905 0.025 1
F13 F 0.120 0.708 0.525 1
F14 F 0.380 0.405 0.088 1
F15 F 0.088 0.905 0.380 1
F16 F 0.412 0.120 0.595 1
F17 F 0.088 0.182 0.208 1
F18 F 0.475 0.682 0.095 1
F19 F 0.818 0.912 0.292 1
F20 F 0.120 0.412 0.095 1
F21 F 0.380 0.975 0.792 1
F22 F 0.595 0.620 0.412 1
F23 F 0.905 0.818 0.525 1
F24 F 0.792 0.318 0.912 1
F25 F 0.405 0.380 0.588 1
F26 F 0.095 0.182 0.475 1
F27 F 0.208 0.682 0.088 1
F28 F 0.182 0.088 0.708 1
F29 F 0.620 0.025 0.208 1
F30 F 0.880 0.588 0.905 1
F31 F 0.525 0.318 0.905 1
F32 F 0.588 0.880 0.405 1
F33 F 0.912 0.818 0.792 1
F34 F 0.912 0.095 0.620 1
F35 F 0.880 0.292 0.475 1
F36 F 0.182 0.095 0.975 1
F37 F 0.620 0.595 0.912 1
F38 F 0.405 0.025 0.318 1
F39 F 0.292 0.412 0.818 1
F40 F 0.208 0.525 0.620 1
F41 F 0.905 0.088 0.880 1
F42 F 0.682 0.208 0.588 1
F43 F 0.475 0.792 0.880 1
F44 F 0.025 0.405 0.818 1
F45 F 0.412 0.292 0.318 1
F46 F 0.025 0.620 0.708 1
F47 F 0.682 0.475 0.595 1
F48 F 0.292 0.880 0.975 1
```


The following is a PBE calculation of an optimized crystal structure of AcPRu2N, from Alexandria.

Output
Formation energy from raw total energies: -684.3 meV per atom
Crystal system: orthorhombic
Space group: Cmcm

The structure in CIF format:
```
data_AcPRu2N
_cell_length_a 3.924
_cell_length_b 6.012
_cell_length_c 7.254
_cell_angle_alpha 90.00
_cell_angle_beta 90.00
_cell_angle_gamma 109.05
_space_group_name_H-M_alt 'P 1'
_space_group_IT_number 1
loop_
_space_group_symop_operation_xyz
'x,y,z'
loop_
_atom_site_label
_atom_site_type_symbol
_atom_site_fract_x
_atom_site_fract_y
_atom_site_fract_z
_atom_site_occupancy
Ac1 Ac 0.454 0.908 0.750 1
Ac2 Ac 0.546 0.092 0.250 1
P1 P 0.728 0.456 0.750 1
P2 P 0.272 0.544 0.250 1
Ru1 Ru 0.169 0.339 0.945 1
Ru2 Ru 0.831 0.661 0.055 1
Ru3 Ru 0.169 0.339 0.555 1
Ru4 Ru 0.831 0.661 0.445 1
N1 N 0.000 0.000 0.000 1
N2 N 0.000 0.000 0.500 1
```


The following is a PBE calculation of an optimized crystal structure of ScAl2SbO8, from Alexandria.

Output
Formation energy from raw total energies: -2037.8 meV per atom
Crystal system: tetragonal
Space group: I-4m2

The structure in CIF format:
```
data_ScAl2SbO8
_cell_length_a 5.647
_cell_length_b 5.647
_cell_length_c 5.647
_cell_angle_alpha 108.82
_cell_angle_beta 108.82
_cell_angle_gamma 110.79
_space_group_name_H-M_alt 'P 1'
_space_group_IT_number 1
loop_
_space_group_symop_operation_xyz
'x,y,z'
loop_
_atom_site_label
_atom_site_type_symbol
_atom_site_fract_x
_atom_site_fract_y
_atom_site_fract_z
_atom_site_occupancy
Sc1 Sc 0.250 0.750 0.500 1
Al1 Al 0.750 0.250 0.500 1
Al2 Al 0.500 0.500 0.000 1
Sb1 Sb 0.000 0.000 0.000 1
O1 O 0.366 0.066 0.301 1
O2 O 0.305 0.494 0.188 1
O3 O 0.305 0.117 0.812 1
O4 O 0.765 0.066 0.699 1
O5 O 0.883 0.695 0.188 1
O6 O 0.934 0.235 0.301 1
O7 O 0.934 0.634 0.699 1
O8 O 0.506 0.695 0.812 1
```


The following is a PBE calculation of an optimized crystal structure of RbCaRhPb2, from Alexandria.

Output
Energy relative to the elements: -0.153 eV/atom
Crystal system: tetragonal
Space group: P4/mmm

The structure in CIF format:
```
data_RbCaRhPb2
_cell_length_a 5.451
_cell_length_b 5.451
_cell_length_c 5.450
_cell_angle_alpha 90.00
_cell_angle_beta 90.00
_cell_angle_gamma 90.00
_space_group_name_H-M_alt 'P 1'
_space_group_IT_number 1
loop_
_space_group_symop_operation_xyz
'x,y,z'
loop_
_atom_site_label
_atom_site_type_symbol
_atom_site_fract_x
_atom_site_fract_y
_atom_site_fract_z
_atom_site_occupancy
Pb1 Pb 0.000 0.500 0.000 1
Pb2 Pb 0.500 0.000 0.000 1
Ca1 Ca 0.000 0.000 0.500 1
Rh1 Rh 0.000 0.000 0.000 1
Rb1 Rb 0.500 0.500 0.500 1
```


Number 1: total magnetization 0.88 μB/f.u.. Number 2: total magnetization 0.00 μB/f.u.. Number 3: total magnetization 0.00 μB/f.u.. Number 4: total magnetization 0.00 μB/f.u.. Number 5: total magnetization 3.36 μB/f.u.. Number 6: total magnetization 0.00 μB/f.u.. Number 7: total magnetization 0.00 μB/f.u.. Number 8: total magnetization 3.68 μB/f.u.. Number 9: total magnetization 17.00 μB/f.u.. Number 10: total magnetization 0.00 μB/f.u.. Number 11: total magnetization 2.03 μB/f.u.. Number 12: total magnetization 0.00 μB/f.u..